No. 1
# TmTe3PdPb (PBE-GGA, relaxed)
# Mass density: 8.07 g/cm³
# Energy above the lowest structure with this stoichiometry: 2.42 kJ per mole of atoms
# E_tot: -54.2 eV for the cell shown
data_TmTe3PdPb
_chemical_formula_sum 'Tm2 Te6 Pd2 Pb2'
_symmetry_space_group_name_H-M 'P 1 21/m 1'
_symmetry_Int_Tables_number 11
_cell_length_a 8.372
_cell_length_b 4.171
_cell_length_c 10.722
_cell_angle_alpha 90.00
_cell_angle_beta 107.90
_cell_angle_gamma 90.00
loop_
_symmetry_equiv_pos_as_xyz
'x,y,z'
'-x,-y,-z'
'-x,y+1/2,-z'
'x,-y+1/2,z'
loop_
_atom_site_label
_atom_site_type_symbol
_atom_site_fract_x
_atom_site_fract_y
_atom_site_fract_z
_atom_site_occupancy
Tm1 Tm 0.202 0.250 0.175 1
Te1 Te 0.078 0.250 0.871 1
Te2 Te 0.239 0.250 0.463 1
Te3 Te 0.455 0.750 0.159 1
Pd1 Pd 0.409 0.750 0.404 1
Pb1 Pb 0.243 0.750 0.709 1

No. 2
# TmTe3PdPb (PBE-GGA, relaxed)
# Mass density: 8.31 g/cm³
# Energy above the lowest structure with this stoichiometry: 0.00 kJ per mole of atoms
# E_tot: -109.0 eV for the cell shown
data_TmTe3PdPb
_chemical_formula_sum 'Tm4 Te12 Pd4 Pb4'
_symmetry_space_group_name_H-M 'C m c m'
_symmetry_Int_Tables_number 63
_symmetry_space_group_name_Hall '-C 2c 2'
_cell_length_a 4.096
_cell_length_b 14.965
_cell_length_c 11.282
_cell_angle_alpha 90.00
_cell_angle_beta 90.00
_cell_angle_gamma 90.00
loop_
_atom_site_label
_atom_site_type_symbol
_atom_site_fract_x
_atom_site_fract_y
_atom_site_fract_z
_atom_site_occupancy
Tm1 Tm 0.000 0.000 0.000 1
Te1 Te 0.000 0.079 0.250 1
Te2 Te 0.000 0.355 0.046 1
Pd1 Pd 0.000 0.459 0.250 1
Pb1 Pb 0.000 0.207 0.750 1

No. 3
# ThPd6Pb (PBE-GGA, relaxed)
# Mass density: 12.44 g/cm³
# E_tot: -47.3 eV for the cell shown
data_ThPd6Pb
_chemical_formula_sum 'Th1 Pd6 Pb1'
_symmetry_space_group_name_H-M 'P 4/m m m'
_symmetry_Int_Tables_number 123
_symmetry_space_group_name_Hall '-P 4 2'
_cell_length_a 4.170
_cell_length_b 4.170
_cell_length_c 8.272
_cell_angle_alpha 90.00
_cell_angle_beta 90.00
_cell_angle_gamma 90.00
loop_
_atom_site_label
_atom_site_type_symbol
_atom_site_fract_x
_atom_site_fract_y
_atom_site_fract_z
_atom_site_occupancy
Th1 Th 0.000 0.000 0.000 1
Pd1 Pd 0.000 0.500 0.250 1
Pd2 Pd 0.500 0.500 0.000 1
Pd3 Pd 0.500 0.500 0.500 1
Pb1 Pb 0.000 0.000 0.500 1